Entry 1:
VASP calculation (PBE-GGA) on CdBi2H2 after structural relaxation.

Summary:
offset from the most stable computed form = 0.304 eV per atom

Lattice parameters (Å, degrees): 4.8006 4.8006 9.1394 90.00 90.00 90.00
Last column: nearest neighbours and their distance in Å.
Space group I4/mmm (No. 139)
Asymmetric unit:
Cd 0.0000 0.0000 0.0000 (multiplicity 2)  2 H 2.80
Bi 0.0000 0.5000 0.2500 (multiplicity 4)  4 H 2.46
H 0.0000 0.0000 0.3065 (multiplicity 4)  4 Bi 2.46



Entry 2:
VASP calculation (PBE-GGA) on Pm7NdSm4 after structural relaxation.

Summary:
offset from the most stable computed form = 0.000 eV per atom
energy of formation from the pure elements = 0.08 eV per formula unit

Lattice parameters (Å, degrees): 6.3594 7.3485 9.0692 90.04 103.50 90.00
Last column: nearest neighbours and their distance in Å.
Space group P-1 (No. 2)
Asymmetric unit:
Pm 0.0000 0.0000 0.0000 (multiplicity 1)  4 Sm 3.62, 6 Pm 3.62-3.67, 2 Nd 3.67
Pm 0.2225 0.4998 0.6670 (multiplicity 2)  1 Nd 3.62, 6 Pm 3.62-3.68, 5 Sm 3.63-3.68
Pm 0.2781 0.2496 0.3334 (multiplicity 2)  5 Pm 3.62-3.68, 6 Sm 3.62-3.68, 1 Nd 3.63
Pm 0.5000 0.2492 0.9997 (multiplicity 2)  3 Sm 3.62, 7 Pm 3.62-3.69, 2 Nd 3.67-3.68
Nd 0.0000 0.5000 0.0000 (multiplicity 1)  10 Pm 3.62-3.68, 2 Sm 3.63
Sm 0.2216 0.9998 0.6671 (multiplicity 2)  8 Pm 3.62-3.67, 4 Sm 3.63-3.67
Sm 0.2779 0.7510 0.3331 (multiplicity 2)  8 Pm 3.62-3.68, 3 Sm 3.63-3.67, 1 Nd 3.63



Entry 3:
VASP calculation (PBE-GGA) on Pm3Bi5O12 after structural relaxation.

Summary:
E_tot = -6.522 eV/atom

Lattice parameters (Å, degrees): 13.9657 13.9657 13.9657 90.00 90.00 90.00
Last column: nearest neighbours and their distance in Å.
Space group Ia-3d (No. 230)
Asymmetric unit:
Pm 0.0000 0.2500 0.1250 (multiplicity 24)  8 O 2.55-2.60
Bi 0.0000 0.0000 0.0000 (multiplicity 16)  6 O 2.38
Bi 0.0000 0.2500 0.3750 (multiplicity 24)  4 O 2.23
O 0.0184 0.0706 0.6543 (multiplicity 96)  2 Bi 2.23-2.38



Entry 4:
VASP calculation (PBE-GGA) on Ca2ScTl after structural relaxation.

Summary:
offset from the most stable computed form = 0.123 eV per atom
energy of formation from the pure elements = 0.03 eV per formula unit

Lattice parameters (Å, degrees): 3.6325 3.6325 33.2164 90.00 90.00 120.00
Last column: nearest neighbours and their distance in Å.
Space group R-3m (No. 166, hexagonal axes)
Asymmetric unit:
Ca 0.0000 0.0000 0.2451 (multiplicity 6)  3 Tl 3.34, 3 Sc 3.60, 6 Ca 3.63
Sc 0.0000 0.0000 0.0000 (multiplicity 3)  6 Ca 3.60, 6 Sc 3.63
Tl 0.0000 0.0000 0.5000 (multiplicity 3)  6 Ca 3.34, 6 Tl 3.63



Entry 5:
VASP calculation (PBE-GGA) on LaIn2I after structural relaxation.

Summary:
offset from the most stable computed form = 0.000 eV per atom

Lattice parameters (Å, degrees): 9.2148 9.2148 6.4292 90.00 90.00 90.00
Last column: nearest neighbours and their distance in Å.
Space group I-42d (No. 122)
Asymmetric unit:
La 0.0000 0.0000 0.0000 (multiplicity 4)  2 I 3.21, 4 In 3.32
In 0.2444 0.2500 0.1250 (multiplicity 8)  2 In 3.22, 2 La 3.32, 2 I 3.39
I 0.0000 0.0000 0.5000 (multiplicity 4)  2 La 3.21, 4 In 3.39



Entry 6:
VASP calculation (PBE-GGA) on Nb2CrNi after structural relaxation.

Summary:
offset from the most stable computed form = 0.000 eV per atom
energy of formation from the pure elements = -0.12 eV per formula unit

Lattice parameters (Å, degrees): 3.1381 3.1381 6.0233 90.00 90.00 90.00
Last column: nearest neighbours and their distance in Å.
Space group P4/mmm (No. 123)
Asymmetric unit:
Nb 0.0000 0.0000 0.2459 (multiplicity 2)  4 Cr 2.67, 4 Ni 2.70, 1 Nb 2.96
Cr 0.5000 0.5000 0.0000 (multiplicity 1)  8 Nb 2.67
Ni 0.5000 0.5000 0.5000 (multiplicity 1)  8 Nb 2.70, 2 Cr 3.01



Entry 7:
VASP calculation (PBE-GGA) on BC2 after structural relaxation.

Summary:
offset from the most stable computed form = 0.115 eV per atom
energy of formation from the pure elements = 1.06 eV per formula unit

Lattice parameters (Å, degrees): 2.5098 8.0016 3.8126 90.00 90.00 90.00
Last column: nearest neighbours and their distance in Å.
Space group Pmma (No. 51)
Asymmetric unit:
B 0.2500 0.1723 0.1668 (multiplicity 4)  2 C 1.62, 2 B 1.79
C 0.2500 0.0000 0.3908 (multiplicity 2)  2 C 1.51, 2 B 1.62
C 0.2500 0.3465 0.3838 (multiplicity 4)  3 C 1.54-1.59, 1 B 1.62
C 0.2500 0.5000 0.1182 (multiplicity 2)  4 C 1.55-1.59



Entry 8:
VASP calculation (PBE-GGA) on GdOF after structural relaxation.

Summary:
E_tot = -10.780 eV/atom

Lattice parameters (Å, degrees): 3.8898 3.8898 19.4741 90.00 90.00 120.00
Last column: nearest neighbours and their distance in Å.
Space group R-3m (No. 166, hexagonal axes)
Asymmetric unit:
Gd 0.0000 0.0000 0.2409 (multiplicity 6)  4 O 2.31-2.32, 4 F 2.49-2.52
O 0.0000 0.0000 0.1224 (multiplicity 6)  4 Gd 2.31-2.32
F 0.0000 0.0000 0.3705 (multiplicity 6)  4 Gd 2.49-2.52, 3 F 2.67



Q: What is the formula in the sixth record?
A: Nb2CrNi